# 1
An optimized crystal structure of LaThGe2, computed with PBE.

abc: 3.2579 5.5780 5.5780
angles: 90.00 90.00 90.00
Atoms (fractional coordinates):
1 Ge 0.0000 0.0000 0.5000
2 Ge 0.0000 0.5000 0.0000
3 Th 0.5000 0.0000 0.0000
4 La 0.5000 0.5000 0.5000

Symmetry ... P4/mmm (123)
ΔE_f ... -0.641 eV per atom
Magnetic moment ... 0.0000 μB/atom

# 2
An optimized crystal structure of LaThGe2, computed with PBE.

abc: 4.4402 4.2377 6.0350
angles: 90.00 111.61 90.00
Atoms (fractional coordinates):
1 La 0.4444 0.5000 0.4280
2 Th 0.7180 0.0000 0.9748
3 Ge 0.1695 0.5000 0.8779
4 Ge 0.9991 0.0000 0.5373

Symmetry ... Amm2 (38)
ΔE_f ... -0.762 eV per atom
Magnetic moment ... 0.0000 μB/atom

# 3
An optimized crystal structure of LaThGe2, computed with PBE.

abc: 4.6030 4.6030 7.0103
angles: 70.83 70.83 60.00
Atoms (fractional coordinates):
1 La 0.6700 0.6700 0.9899
2 Th 0.4940 0.4940 0.5179
3 Ge 0.0935 0.0935 0.7194
4 Ge 0.2424 0.2424 0.2727

Symmetry ... R3m (160)
ΔE_f ... -0.565 eV per atom
Magnetic moment ... 0.0000 μB/atom

# 4
An optimized crystal structure of LaThGe2, computed with PBE.

abc: 4.2056 6.0537 8.2620
angles: 90.00 90.00 90.00
Atoms (fractional coordinates):
1 La 0.5000 0.3740 0.3182
2 La 0.5000 0.6260 0.8182
3 Th 0.0000 0.1246 0.6830
4 Th 0.0000 0.8754 0.1830
5 Ge 0.0000 0.6135 0.5394
6 Ge 0.0000 0.3865 0.0394
7 Ge 0.5000 0.8955 0.4593
8 Ge 0.5000 0.1045 0.9593

Symmetry ... Pmc2_1 (26)
ΔE_f ... -0.765 eV per atom
Magnetic moment ... 0.0000 μB/atom

# 5
An optimized crystal structure of La3Ti2Ge4, computed with PBE.

abc: 4.2024 6.5475 8.8257
angles: 109.26 90.00 108.72
Each line ends with the local moment (μB).
Atoms (fractional coordinates):
1 La 0.6126 0.2252 0.6964  0.02
2 La 0.0000 0.0000 0.0000  0.02
3 La 0.3874 0.7748 0.3036  0.02
4 Ti 0.6972 0.3944 0.3692  0.32
5 Ti 0.3028 0.6056 0.6308  0.32
6 Ge 0.7140 0.4280 0.0720  0.00
7 Ge 0.2860 0.5720 0.9280  0.00
8 Ge 0.9111 0.8222 0.5935  -0.01
9 Ge 0.0889 0.1778 0.4065  -0.01

Symmetry ... C2/m (12)
ΔE_f ... -0.673 eV per atom
Magnetic moment ... 0.1002 μB/atom

# 6
An optimized crystal structure of LaTiGe, computed with PBE.

abc: 4.1587 4.1587 8.7495
angles: 103.75 103.75 90.00
Each line ends with the local moment (μB).
Atoms (fractional coordinates):
1 La 0.6734 0.6734 0.3469  0.23
2 La 0.3266 0.3266 0.6531  0.23
3 Ti 0.5000 0.0000 0.0000  0.84
4 Ti 0.0000 0.5000 0.0000  0.84
5 Ge 0.1113 0.1113 0.2226  -0.04
6 Ge 0.8887 0.8887 0.7774  -0.04

Symmetry ... I4/mmm (139)
Energy above the lowest structure with this stoichiometry ... 18 meV per atom
ΔE_f ... -0.605 eV per atom
Magnetic moment ... 0.5455 μB/atom

# 7
An optimized crystal structure of LaTiGe2, computed with PBE.

abc: 4.3267 4.3267 6.1281
angles: 69.33 69.33 60.00
Atoms (fractional coordinates):
1 Ge 0.7749 0.7749 0.6753
2 Ge 0.2251 0.2251 0.3247
3 Ti 0.5000 0.5000 0.5000
4 La 0.0000 0.0000 0.0000

Symmetry ... R-3m (166)
Energy above the lowest structure with this stoichiometry ... 0 meV per atom
ΔE_f ... -0.587 eV per atom
Magnetic moment ... 0.0000 μB/atom

# 8
An optimized crystal structure of LaTiGe3, computed with PBE.

abc: 6.3372 6.3372 5.9204
angles: 90.00 90.00 120.00
Atoms (fractional coordinates):
1 La 0.6667 0.3333 0.2500
2 La 0.3333 0.6667 0.7500
3 Ti 0.0000 0.0000 0.5000
4 Ti 0.0000 0.0000 0.0000
5 Ge 0.1968 0.8032 0.2500
6 Ge 0.8032 0.6064 0.7500
7 Ge 0.1968 0.3936 0.2500
8 Ge 0.8032 0.1968 0.7500
9 Ge 0.3936 0.1968 0.7500
10 Ge 0.6064 0.8032 0.2500

Symmetry ... P6_3/mmc (194)
Energy above the lowest structure with this stoichiometry ... 0 meV per atom
ΔE_f ... -0.721 eV per atom
Magnetic moment ... 0.0000 μB/atom

# 9
An optimized crystal structure of LaTiGe3, computed with PBE.

abc: 5.4757 5.4757 5.4757
angles: 90.00 90.00 90.00
Each line ends with the local moment (μB).
Atoms (fractional coordinates):
1 Ge 0.0000 0.5000 0.0000  -0.05
2 Ge 0.0000 0.0000 0.5000  -0.04
3 Ge 0.5000 0.0000 0.0000  -0.01
4 Ti 0.5000 0.5000 0.5000  1.76
5 La 0.0000 0.0000 0.0000  -0.06

Symmetry ... Pm-3m (221)
Energy above the lowest structure with this stoichiometry ... 1877 meV per atom
ΔE_f ... 1.156 eV per atom
Magnetic moment ... 0.3849 μB/atom

# 10
An optimized crystal structure of LaTiGe, computed with PBE.

abc: 4.1802 4.1802 8.0459
angles: 90.00 90.00 90.00
Each line ends with the local moment (μB).
Atoms (fractional coordinates):
1 La 0.0000 0.5000 0.3471  -0.12
2 La 0.5000 0.0000 0.6529  -0.12
3 Ti 0.5000 0.5000 0.0000  0.41
4 Ti 0.0000 0.0000 0.0000  0.41
5 Ge 0.5000 0.0000 0.2165  0.00
6 Ge 0.0000 0.5000 0.7835  0.00

Symmetry ... P4/nmm (129)
Energy above the lowest structure with this stoichiometry ... 0 meV per atom
ΔE_f ... -0.622 eV per atom
Magnetic moment ... 0.0629 μB/atom

# 11
An optimized crystal structure of LaTiGe3, computed with PBE.

abc: 4.8783 4.8783 4.8783
angles: 90.00 90.00 90.00
Atoms (fractional coordinates):
1 Ge 0.0000 0.5000 0.0000
2 Ge 0.0000 0.0000 0.5000
3 Ge 0.5000 0.0000 0.0000
4 Ti 0.0000 0.0000 0.0000
5 La 0.5000 0.5000 0.5000

Symmetry ... Pm-3m (221)
Energy above the lowest structure with this stoichiometry ... 337 meV per atom
ΔE_f ... -0.384 eV per atom
Magnetic moment ... 0.0000 μB/atom

# 12
An optimized crystal structure of La2Ti2Ge, computed with PBE.

abc: 7.0533 7.0533 4.7436
angles: 90.00 90.00 90.00
Atoms (fractional coordinates):
1 Ge 0.0000 0.0000 0.0000
2 Ge 0.5000 0.5000 0.0000
3 Ti 0.3601 0.8601 0.0000
4 Ti 0.8601 0.6399 0.0000
5 Ti 0.6399 0.1399 0.0000
6 Ti 0.1399 0.3601 0.0000
7 La 0.1759 0.6759 0.5000
8 La 0.6759 0.8241 0.5000
9 La 0.8241 0.3241 0.5000
10 La 0.3241 0.1759 0.5000

Symmetry ... P4/mbm (127)
ΔE_f ... -0.115 eV per atom
Magnetic moment ... 0.0008 μB/atom

# 13
An optimized crystal structure of LaTiGe2, computed with PBE.

abc: 4.9389 4.9389 4.9389
angles: 60.00 60.00 60.00
Atoms (fractional coordinates):
1 Ge 0.2500 0.2500 0.2500
2 Ge 0.7500 0.7500 0.7500
3 Ti 0.0000 0.0000 0.0000
4 La 0.5000 0.5000 0.5000

Symmetry ... Fm-3m (225)
Energy above the lowest structure with this stoichiometry ... 287 meV per atom
ΔE_f ... -0.301 eV per atom
Magnetic moment ... 0.0000 μB/atom

# 14
An optimized crystal structure of La2TiGe6, computed with PBE.

abc: 6.4441 6.4441 6.4439
angles: 59.99 59.99 59.99
Atoms (fractional coordinates):
1 La 0.2500 0.2500 0.2498
2 La 0.7500 0.7500 0.7502
3 Ti 0.5000 0.5000 0.5000
4 Ge 0.2136 0.2136 0.7862
5 Ge 0.2136 0.7863 0.2136
6 Ge 0.7864 0.2137 0.7864
7 Ge 0.7863 0.2136 0.2136
8 Ge 0.2137 0.7864 0.7864
9 Ge 0.7864 0.7864 0.2138

Symmetry ... Fm-3m (225)
ΔE_f ... -0.539 eV per atom
Magnetic moment ... 0.0004 μB/atom

# 15
An optimized crystal structure of LaTi2Ge, computed with PBE.

abc: 4.2886 4.2886 10.0014
angles: 77.62 77.62 90.00
Atoms (fractional coordinates):
1 Ge 0.5000 0.5000 0.0000
2 Ge 0.2500 0.7500 0.5000
3 Ti 0.1666 0.1250 0.2500
4 Ti 0.5834 0.6250 0.2500
5 Ti 0.3750 0.8334 0.7500
6 Ti 0.8750 0.4166 0.7500
7 La 0.0000 0.0000 0.0000
8 La 0.7500 0.2500 0.5000

Symmetry ... I-42d (122)
ΔE_f ... 0.105 eV per atom
Magnetic moment ... 0.0000 μB/atom

# 16
An optimized crystal structure of LaTiGe2, computed with PBE.

abc: 4.9753 4.9753 9.2628
angles: 74.42 74.42 90.00
Atoms (fractional coordinates):
1 Ge 0.4602 0.1250 0.2500
2 Ge 0.2898 0.6250 0.2500
3 Ge 0.3750 0.5398 0.7500
4 Ge 0.8750 0.7102 0.7500
5 Ti 0.5000 0.5000 0.0000
6 Ti 0.2500 0.7500 0.5000
7 La 0.0000 0.0000 0.0000
8 La 0.7500 0.2500 0.5000

Symmetry ... I-42d (122)
Energy above the lowest structure with this stoichiometry ... 383 meV per atom
ΔE_f ... -0.204 eV per atom
Magnetic moment ... 0.0000 μB/atom

# 17
An optimized crystal structure of LaTiVGe2, computed with PBE.

abc: 4.9138 5.1467 4.9138
angles: 90.00 90.00 90.00
Each line ends with the local moment (μB).
Atoms (fractional coordinates):
1 Ge 0.0000 0.0000 0.5000  0.01
2 Ge 0.5000 0.0000 0.0000  0.00
3 V 0.5000 0.5000 0.5000  0.33
4 Ti 0.0000 0.0000 0.0000  0.33
5 La 0.0000 0.5000 0.0000  0.10

Symmetry ... P4/mmm (123)
ΔE_f ... 0.822 eV per atom
Magnetic moment ... 0.1887 μB/atom

# 18
An optimized crystal structure of LaTi2GeW, computed with PBE.

abc: 4.8725 4.9709 4.8725
angles: 90.00 90.00 90.00
Each line ends with the local moment (μB).
Atoms (fractional coordinates):
1 Ge 0.0000 0.5000 0.0000  -0.02
2 Ti 0.0000 0.0000 0.5000  0.34
3 Ti 0.5000 0.0000 0.0000  0.42
4 W 0.0000 0.0000 0.0000  -0.10
5 La 0.5000 0.5000 0.5000  0.13

Symmetry ... P4/mmm (123)
ΔE_f ... 0.341 eV per atom
Magnetic moment ... 0.2243 μB/atom

# 19
An optimized crystal structure of LaTl3Ge, computed with PBE.

abc: 5.4476 5.4476 5.4476
angles: 90.00 90.00 90.00
Atoms (fractional coordinates):
1 Tl 0.0000 0.5000 0.0000
2 Tl 0.0000 0.0000 0.5000
3 Tl 0.5000 0.0000 0.0000
4 Ge 0.0000 0.0000 0.0000
5 La 0.5000 0.5000 0.5000

Symmetry ... Pm-3m (221)
Energy above the lowest structure with this stoichiometry ... 0 meV per atom
ΔE_f ... 0.185 eV per atom
Magnetic moment ... 0.0000 μB/atom

# 20
An optimized crystal structure of La2TlGe2, computed with PBE.

abc: 5.2482 5.2482 6.7666
angles: 67.18 67.18 90.00
Atoms (fractional coordinates):
1 Tl 0.0000 0.0000 0.0000
2 Ge 0.3923 0.3923 0.2153
3 Ge 0.6077 0.6077 0.7847
4 La 0.7500 0.2500 0.5000
5 La 0.2500 0.7500 0.5000

Symmetry ... I4/mmm (139)
ΔE_f ... -0.269 eV per atom
Magnetic moment ... 0.0000 μB/atom

# 21
An optimized crystal structure of LaTlGe2, computed with PBE.

abc: 4.3928 4.7160 4.7160
angles: 90.00 90.00 90.00
Atoms (fractional coordinates):
1 Tl 0.5000 0.0000 0.0000
2 Ge 0.0000 0.0000 0.5000
3 Ge 0.0000 0.5000 0.0000
4 La 0.5000 0.5000 0.5000

Symmetry ... P4/mmm (123)
ΔE_f ... -0.387 eV per atom
Magnetic moment ... 0.0000 μB/atom

# 22
An optimized crystal structure of LaTlGe4, computed with PBE.

abc: 5.7634 5.7634 5.7634
angles: 60.00 60.00 60.00
Atoms (fractional coordinates):
1 Tl 0.0000 0.0000 0.0000
2 Ge 0.6242 0.6242 0.1273
3 Ge 0.6242 0.1273 0.6242
4 Ge 0.6242 0.6242 0.6242
5 Ge 0.1273 0.6242 0.6242
6 La 0.2500 0.2500 0.2500

Symmetry ... F-43m (216)
ΔE_f ... -0.219 eV per atom
Magnetic moment ... 0.0000 μB/atom

# 23
An optimized crystal structure of LaTl2Ge2, computed with PBE.

abc: 7.8740 7.8740 4.3117
angles: 90.00 90.00 90.00
Atoms (fractional coordinates):
1 Tl 0.1741 0.6741 0.5000
2 Tl 0.6741 0.8259 0.5000
3 Tl 0.8259 0.3259 0.5000
4 Tl 0.3259 0.1741 0.5000
5 Ge 0.3868 0.8868 0.0000
6 Ge 0.8868 0.6132 0.0000
7 Ge 0.6132 0.1132 0.0000
8 Ge 0.1132 0.3868 0.0000
9 La 0.0000 0.0000 0.0000
10 La 0.5000 0.5000 0.0000

Symmetry ... P4/mbm (127)
Energy above the lowest structure with this stoichiometry ... 28 meV per atom
ΔE_f ... -0.147 eV per atom
Magnetic moment ... 0.0000 μB/atom

# 24
An optimized crystal structure of La7Tl2Ge2, computed with PBE.

abc: 7.2875 7.2753 7.2875
angles: 90.00 106.80 90.00
Atoms (fractional coordinates):
1 La 0.0000 0.2836 0.5000
2 La 0.5000 0.7164 0.0000
3 La 0.0000 0.7164 0.5000
4 La 0.5000 0.2836 0.0000
5 La 0.0000 0.0000 0.0000
6 La 0.5000 0.7556 0.5000
7 La 0.5000 0.2444 0.5000
8 Tl 0.8293 0.5000 0.8293
9 Tl 0.1707 0.5000 0.1707
10 Ge 0.7265 0.0000 0.2735
11 Ge 0.2735 0.0000 0.7265

Symmetry ... Cmmm (65)
ΔE_f ... -0.360 eV per atom
Magnetic moment ... 0.0002 μB/atom

# 25
An optimized crystal structure of La5Tl2Ge2, computed with PBE.

abc: 8.1404 8.2452 9.2860
angles: 90.00 64.00 90.00
Atoms (fractional coordinates):
1 La 0.0000 0.0000 0.0000
2 La 0.5000 0.5000 0.0000
3 La 0.4416 0.1768 0.7464
4 La 0.8120 0.8232 0.7464
5 La 0.3120 0.6768 0.7464
6 La 0.9416 0.3232 0.7464
7 La 0.5584 0.8232 0.2536
8 La 0.1880 0.1768 0.2536
9 La 0.6880 0.3232 0.2536
10 La 0.0584 0.6768 0.2536
11 Tl 0.2187 0.0000 0.5626
12 Tl 0.7187 0.5000 0.5626
13 Tl 0.7813 0.0000 0.4374
14 Tl 0.2813 0.5000 0.4374
15 Ge 0.1187 0.3773 0.0000
16 Ge 0.8813 0.6227 0.0000
17 Ge 0.3813 0.8773 0.0000
18 Ge 0.6187 0.1227 0.0000

Symmetry ... Cmce (64)
ΔE_f ... -0.592 eV per atom
Magnetic moment ... 0.0000 μB/atom

# 26
An optimized crystal structure of La2Tl2Ge, computed with PBE.

abc: 7.9728 7.9728 5.0230
angles: 90.00 90.00 90.00
Atoms (fractional coordinates):
1 Tl 0.1545 0.6545 0.5000
2 Tl 0.6545 0.8455 0.5000
3 Tl 0.8455 0.3455 0.5000
4 Tl 0.3455 0.1545 0.5000
5 Ge 0.0000 0.0000 0.0000
6 Ge 0.5000 0.5000 0.0000
7 La 0.3493 0.8493 0.0000
8 La 0.8493 0.6507 0.0000
9 La 0.6507 0.1507 0.0000
10 La 0.1507 0.3493 0.0000

Symmetry ... P4/mbm (127)
Energy above the lowest structure with this stoichiometry ... 86 meV per atom
ΔE_f ... -0.258 eV per atom
Magnetic moment ... 0.0000 μB/atom